Run w
Below is a relaxed KTcW crystal, with properties calculated at the GGA-PBE level.

Cell lengths 3.0622, 4.3483, 12.5738 Å; angles 89.99, 83.71, 90.00 degrees
Element x y z (fractional)
K: 0.0000 0.0000 0.0000
K: 0.3106 0.5017 0.3324
Tc: 0.5307 0.0011 0.7509
Tc: 0.6082 0.5012 0.5816
W: 0.0746 0.0012 0.5775
W: 0.9934 0.5011 0.7551

## Properties
Calculated volume ... 27.74 Å³/atom
Total magnetic moment ... 0.0000 μB/atom



Run x
Below is a relaxed KTcW crystal, with properties calculated at the GGA-PBE level.

Cell lengths 4.7406, 4.7406, 4.7406 Å; angles 60.00, 60.00, 60.00 degrees
Element x y z (fractional)
K: 0.0000 0.0000 0.0000
Tc: 0.2500 0.2500 0.2500
W: 0.7500 0.7500 0.7500

## Properties
Calculated volume ... 25.11 Å³/atom
Total magnetic moment ... 0.1371 μB/atom



Run y
Below is a relaxed KTcW crystal, with properties calculated at the GGA-PBE level.

Cell lengths 3.0224, 4.3540, 12.7786 Å; angles 80.24, 86.81, 90.00 degrees
Element x y z (fractional)
K: 0.0000 0.0000 0.0000
K: 0.4924 0.6697 0.6676
Tc: 0.5274 0.8775 0.2486
Tc: 0.9580 0.7930 0.4190
W: 0.0784 0.3812 0.2412
W: 0.4068 0.2893 0.4266

## Properties
Calculated volume ... 27.58 Å³/atom
Total magnetic moment ... 0.0000 μB/atom



Run z
Below is a relaxed KTcW crystal, with properties calculated at the GGA-PBE level.

Cell lengths 3.1035, 4.0594, 12.8728 Å; angles 90.00, 90.67, 90.00 degrees
Element x y z (fractional)
K: 0.0000 0.0000 0.0000
K: 0.4824 0.5000 0.3246
Tc: 0.5025 0.5000 0.7848
Tc: 0.9906 0.0000 0.5400
W: 0.0000 0.0000 0.7285
W: 0.4932 0.5000 0.5963

## Properties
Calculated volume ... 27.03 Å³/atom
Total magnetic moment ... 0.0000 μB/atom



Energy ordering: run z at the bottom, the next structure 45 meV/atom above.



Run w
Below is a relaxed KTcW crystal, with properties calculated at the GGA-PBE level.

Cell lengths 2.9937, 4.1426, 12.9222 Å; angles 90.00, 94.54, 90.00 degrees
Element x y z (fractional)
K: 0.0000 0.0000 0.0000
K: 0.2664 0.5000 0.3245
Tc: 0.8355 0.0000 0.5371
Tc: 0.9019 0.0000 0.7269
W: 0.3547 0.5000 0.5919
W: 0.4233 0.5000 0.7855

## Properties
Calculated volume ... 26.63 Å³/atom
Total magnetic moment ... 0.0000 μB/atom



Run x
Below is a relaxed KTcW crystal, with properties calculated at the GGA-PBE level.

Cell lengths 7.5072, 7.5072, 7.5072 Å; angles 155.73, 155.73, 34.58 degrees
Element x y z (fractional)
K: 0.0000 0.0000 0.0000
Tc: 0.7008 0.7008 0.0000
W: 0.2843 0.2843 0.0000

## Properties
Calculated volume ... 23.79 Å³/atom
Total magnetic moment ... 0.0003 μB/atom



Run y
Below is a relaxed KTcW crystal, with properties calculated at the GGA-PBE level.

Cell lengths 8.5303, 8.3525, 2.7958 Å; angles 84.08, 76.89, 19.03 degrees
Element x y z (fractional)
K: 0.0000 0.0000 0.0000
Tc: 0.6800 0.6800 0.3200
W: 0.3062 0.3062 0.6938

## Properties
Calculated volume ... 19.74 Å³/atom
Total magnetic moment ... 0.0000 μB/atom



Energy ordering: run w at the bottom, the next structure 290 meV/atom above.



Run w
Below is a relaxed KTc3W crystal, with properties calculated at the GGA-PBE level.

Cell lengths 4.4067, 4.4067, 4.4067 Å; angles 90.00, 90.00, 90.00 degrees
Element x y z (fractional)
K: 0.0000 0.0000 0.0000
Tc: 0.0000 0.0000 0.5000
Tc: 0.0000 0.5000 0.0000
Tc: 0.5000 0.0000 0.0000
W: 0.5000 0.5000 0.5000

## Properties
Calculated volume ... 17.11 Å³/atom
Total magnetic moment ... 0.0000 μB/atom



Run x
Below is a relaxed KTc3W crystal, with properties calculated at the GGA-PBE level.

Cell lengths 4.8574, 4.8574, 4.8574 Å; angles 90.00, 90.00, 90.00 degrees
Element x y z (fractional)
K: 0.0000 0.0000 0.0000
Tc: 0.0000 0.5000 0.5000
Tc: 0.5000 0.0000 0.5000
Tc: 0.5000 0.5000 0.0000
W: 0.5000 0.5000 0.5000

## Properties
Calculated volume ... 22.92 Å³/atom
Total magnetic moment ... 0.6737 μB/atom



Energy ordering: run x at the bottom, the next structure 1449 meV/atom above.



Run w
Below is a relaxed KYTc2 crystal, with properties calculated at the GGA-PBE level.

Cell lengths 3.0911, 4.0074, 8.9961 Å; angles 90.00, 97.97, 90.00 degrees
Element x y z (fractional)
K: 0.0000 0.0000 0.0000
Y: 0.3720 0.5000 0.5845
Tc: 0.5047 0.5000 0.2975
Tc: 0.8967 0.0000 0.3843

## Properties
Calculated volume ... 27.59 Å³/atom
Total magnetic moment ... 0.0000 μB/atom



Run x
Below is a relaxed KYTc2 crystal, with properties calculated at the GGA-PBE level.

Cell lengths 2.8384, 2.8384, 10.5475 Å; angles 90.00, 90.00, 90.00 degrees
Element x y z (fractional)
K: 0.0000 0.0000 0.0000
Y: 0.0000 0.0000 0.5000
Tc: 0.5000 0.5000 0.2767
Tc: 0.5000 0.5000 0.7233

## Properties
Calculated volume ... 21.24 Å³/atom
Total magnetic moment ... 0.0000 μB/atom



Energy ordering: run w at the bottom, the next structure 497 meV/atom above.



Run w
Below is a relaxed KYTc2 crystal, with properties calculated at the GGA-PBE level.

Cell lengths 10.6141, 10.6141, 10.6141 Å; angles 16.87, 16.87, 16.87 degrees
Element x y z (fractional)
K: 0.0000 0.0000 0.0000
Y: 0.5000 0.5000 0.5000
Tc: 0.2407 0.2407 0.2407
Tc: 0.7593 0.7593 0.7593

## Properties
Calculated volume ... 21.95 Å³/atom
Total magnetic moment ... 0.5910 μB/atom



Run x
Below is a relaxed KYTc2 crystal, with properties calculated at the GGA-PBE level.

Cell lengths 4.1227, 4.1227, 8.9225 Å; angles 102.75, 102.75, 59.94 degrees
Element x y z (fractional)
K: 0.0000 0.0000 0.0000
Y: 0.8269 0.8269 0.4574
Tc: 0.2378 0.2378 0.6999
Tc: 0.5568 0.5568 0.6551

## Properties
Calculated volume ... 31.73 Å³/atom
Total magnetic moment ... 0.0001 μB/atom



Energy ordering: run x at the bottom, the next structure 631 meV/atom above.



Run w
Below is a relaxed KZn3Tc crystal, with properties calculated at the GGA-PBE level.

Cell lengths 5.6636, 5.6636, 5.6636 Å; angles 90.00, 90.00, 90.00 degrees
Element x y z (fractional)
K: 0.0000 0.0000 0.0000
Zn: 0.0000 0.0000 0.5000
Zn: 0.0000 0.5000 0.0000
Zn: 0.5000 0.0000 0.0000
Tc: 0.5000 0.5000 0.5000

## Properties
Calculated volume ... 36.33 Å³/atom
Total magnetic moment ... 0.8238 μB/atom



Run x
Below is a relaxed KZn3Tc crystal, with properties calculated at the GGA-PBE level.

Cell lengths 4.9636, 4.9636, 4.9636 Å; angles 90.00, 90.00, 90.00 degrees
Element x y z (fractional)
K: 0.0000 0.0000 0.0000
Zn: 0.0000 0.5000 0.5000
Zn: 0.5000 0.0000 0.5000
Zn: 0.5000 0.5000 0.0000
Tc: 0.5000 0.5000 0.5000

## Properties
Calculated volume ... 24.46 Å³/atom
Total magnetic moment ... 0.1654 μB/atom



Energy ordering: run x at the bottom, the next structure 1381 meV/atom above.